Material: GaCuIN2
Method: DFT, GGA-PBE
State: optimized geometry

## Properties
* ΔE to the lowest computed polymorph: 0.0000 eV/atom
* DOS(E_F): 3.74 states/eV/cell
* formation energy without anion corrections: 594.6 kJ/mol of formula units

Lattice parameters (Å, degrees): 3.7822 3.7822 7.4146 90.00 90.00 90.00
Space group P4/mmm (No. 123)
Inequivalent atoms, fractional coordinates:
1 Ga 0.0000 0.0000 0.0000 x1
2 Cu 0.5000 0.5000 0.5000 x1
3 I 0.0000 0.0000 0.5000 x1
4 N 0.0000 0.5000 0.0000 x2